No. 1
KCo2Mo | PBE | optimized geometry

As for the crystal system: orthorhombic. The calculation puts the total magnetization at 0.503 μB per atom. As for the formation energy from the elements: 1.0306 eV per atom. For the calculated density, the calculation gives 6.23 g cm⁻³. As for the energy above the lowest structure with this stoichiometry: 434 meV/atom.

The structure belongs to space group Imm2 (No. 44); the cell edges are 2.566, 5.096 and 10.310 Å and the angles 90.00°, 90.00° and 90.00°. The inequivalent atoms are K at (0.000, 0.000, 0.000), Co at (0.000, 0.000, 0.515), Co at (0.000, 0.500, 0.212) and Mo at (0.000, 0.500, 0.801).

No. 2
KCoMo2 | PBE | optimized geometry

As for the crystal system: monoclinic. The calculation puts the total magnetization at 0.165 μB per atom. As for the formation energy from the elements: 0.7925 eV per atom. For the calculated density, the calculation gives 5.94 g cm⁻³. As for the energy above the lowest structure with this stoichiometry: 27 meV/atom.

The structure belongs to space group Pm (No. 6); the cell edges are 2.864, 3.252 and 8.720 Å and the angles 90.00°, 93.61° and 90.00°. The inequivalent atoms are K at (0.000, 0.000, 0.000), Co at (0.443, 0.500, 0.699), Mo at (0.515, 0.500, 0.366) and Mo at (0.905, 0.000, 0.558).

No. 3
KCo2Mo | PBE | optimized geometry

As for the crystal system: orthorhombic. The calculation puts the total magnetization at 0.881 μB per atom. As for the formation energy from the elements: 1.5723 eV per atom. For the calculated density, the calculation gives 6.35 g cm⁻³. As for the energy above the lowest structure with this stoichiometry: 976 meV/atom.

The structure belongs to space group Pmmm (No. 47); the cell edges are 2.628, 4.785 and 5.257 Å and the angles 90.00°, 90.00° and 90.00°. The inequivalent atoms are K at (0.000, 0.000, 0.000), Co at (0.000, 0.500, 0.500), Co at (0.500, 0.500, 0.000) and Mo at (0.500, 0.000, 0.500).

No. 4
KCoMo2 | PBE | optimized geometry

As for the crystal system: tetragonal. The calculation puts the total magnetization at 0.000 μB per atom. As for the formation energy from the elements: 1.6522 eV per atom. For the calculated density, the calculation gives 4.82 g cm⁻³. As for the energy above the lowest structure with this stoichiometry: 886 meV/atom.

The structure belongs to space group I-42d (No. 122); the cell edges are 4.923, 4.923 and 16.481 Å and the angles 90.00°, 90.00° and 90.00°. The inequivalent atoms are K at (0.000, 0.000, 0.000), Co at (0.000, 0.000, 0.500) and Mo at (0.014, 0.750, 0.625).

No. 5
KCoMo2 | PBE | optimized geometry

As for the crystal system: monoclinic. The calculation puts the total magnetization at 0.389 μB per atom. As for the formation energy from the elements: 1.3432 eV per atom. For the calculated density, the calculation gives 6.85 g cm⁻³. As for the energy above the lowest structure with this stoichiometry: 577 meV/atom.

The structure belongs to space group C2/m (No. 12); the cell edges are 5.395, 10.422 and 2.585 Å and the angles 90.00°, 104.79° and 90.00°. The inequivalent atoms are K at (0.000, 0.000, 0.000), Co at (0.000, 0.500, 0.000) and Mo at (0.250, 0.250, 0.500).

No. 6
KCoMo | PBE | optimized geometry

As for the crystal system: tetragonal. The calculation puts the total magnetization at 0.000 μB per atom. As for the formation energy from the elements: 0.8565 eV per atom. For the calculated density, the calculation gives 5.07 g cm⁻³. As for the energy above the lowest structure with this stoichiometry: 0 meV/atom.

The structure belongs to space group I4mm (No. 107); the cell edges are 3.016, 3.016 and 13.954 Å and the angles 90.00°, 90.00° and 90.00°. The inequivalent atoms are K at (0.000, 0.000, 0.000), Co at (0.000, 0.000, 0.310) and Mo at (0.000, 0.000, 0.730).

Question: formation energy from the elements of number 2 (KCoMo2)?
Answer: 0.7925 eV per atom

Question: Among the records above, which one has the highest calculated density?
Answer: number 5

What did the second record say?
KCoMo2 | PBE | optimized geometry

As for the crystal system: monoclinic. The calculation puts the total magnetization at 0.165 μB per atom. As for the formation energy from the elements: 0.7925 eV per atom. For the calculated density, the calculation gives 5.94 g cm⁻³. As for the energy above the lowest structure with this stoichiometry: 27 meV/atom.

The structure belongs to space group Pm (No. 6); the cell edges are 2.864, 3.252 and 8.720 Å and the angles 90.00°, 93.61° and 90.00°. The inequivalent atoms are K at (0.000, 0.000, 0.000), Co at (0.443, 0.500, 0.699), Mo at (0.515, 0.500, 0.366) and Mo at (0.905, 0.000, 0.558).

Question: Which value of calculated density does entry 4 give?
Answer: 4.82 g cm⁻³